Compound: RuSe2BrF
Source: the Alexandria database
Functional: GGA-PBE
Structure: relaxed

It has space group P4/mmm (No. 123), with a = 4.3312 Å, b = 4.3312 Å, c = 5.8362 Å, α = 90.00°, β = 90.00° and γ = 90.00°. The asymmetric unit holds Ru at (0.0000, 0.0000, 0.0000), Se at (0.0000, 0.5000, 0.5000), Br at (0.5000, 0.5000, 0.0000) and F at (0.5000, 0.5000, 0.5000).

For the raw formation energy, the calculation gives 77 kJ/mol of atoms. The value obtained for the energy above the most stable polymorph in this dataset is 596 meV/atom. Its total energy is -15.80 eV for the cell shown.

=====

Compound: RuSe2BrF
Source: the Alexandria database
Functional: GGA-PBE
Structure: relaxed

It has space group P4/mmm (No. 123), with a = 4.7467 Å, b = 4.7467 Å, c = 5.1777 Å, α = 90.00°, β = 90.00° and γ = 90.00°. The asymmetric unit holds Ru at (0.0000, 0.0000, 0.0000), Se at (0.0000, 0.5000, 0.0000), Br at (0.0000, 0.0000, 0.5000) and F at (0.5000, 0.5000, 0.5000).

For the raw formation energy, the calculation gives 19 kJ/mol of atoms. The value obtained for the energy above the most stable polymorph in this dataset is 0 meV/atom. Its total energy is -18.78 eV for the cell shown.

=====

Compound: Tl3RuBr2F6
Source: the Alexandria database
Functional: GGA-PBE
Structure: relaxed

It has space group C2/m (No. 12), with a = 15.7783 Å, b = 7.7226 Å, c = 5.0696 Å, α = 90.00°, β = 92.04° and γ = 90.00°. The asymmetric unit holds Tl at (0.0000, 0.0000, 0.0000), Tl at (0.2500, 0.2500, 0.5000), Ru at (0.0000, 0.5000, 0.5000), Br at (0.2030, 0.0000, 0.0019), F at (0.0409, 0.3210, 0.7323) and F at (0.1097, 0.5000, 0.3460).

For the raw formation energy, the calculation gives -144 kJ/mol of atoms. Its total energy is -97.78 eV for the cell shown.

=====

Compound: Tl2RuBrF
Source: the Alexandria database
Functional: GGA-PBE
Structure: relaxed

It has space group P4/mmm (No. 123), with a = 4.8790 Å, b = 4.8790 Å, c = 5.7174 Å, α = 90.00°, β = 90.00° and γ = 90.00°. The asymmetric unit holds Tl at (0.0000, 0.5000, 0.0000), Ru at (0.0000, 0.0000, 0.5000), Br at (0.5000, 0.5000, 0.5000) and F at (0.5000, 0.5000, 0.0000).

For the raw formation energy, the calculation gives 24 kJ/mol of atoms. Its total energy is -16.31 eV for the cell shown.

=====

Compound: SbSBr3F6
Source: the Alexandria database
Functional: GGA-PBE
Structure: relaxed

It has space group P2_1/c (No. 14), with a = 8.3785 Å, b = 9.8879 Å, c = 12.7158 Å, α = 90.00°, β = 96.43° and γ = 90.00°. The asymmetric unit holds Sb at (0.2062, 0.2315, 0.0628), S at (0.2125, 0.6871, 0.7110), Br at (0.2062, 0.6033, 0.2631), Br at (0.2638, 0.5651, 0.8540), Br at (0.4306, 0.6747, 0.6316), F at (0.0063, 0.2247, 0.4814), F at (0.1226, 0.0596, 0.1006), F at (0.1330, 0.1879, 0.6864), F at (0.2810, 0.1509, 0.9385), F at (0.2939, 0.0967, 0.5247) and F at (0.4091, 0.1889, 0.1406).

For the raw formation energy, the calculation gives -143 kJ/mol of atoms. Its total energy is -163.00 eV for the cell shown.

=====

Compound: SbSBr3F6
Source: the Alexandria database
Functional: GGA-PBE
Structure: relaxed

It has space group P2_12_12_1 (No. 19), with a = 8.5386 Å, b = 9.7023 Å, c = 12.7447 Å, α = 90.00°, β = 90.00° and γ = 90.00°. The asymmetric unit holds Sb at (0.1973, 0.0423, 0.1991), S at (0.1604, 0.4768, 0.0148), Br at (0.1340, 0.4949, 0.6153), Br at (0.1567, 0.6653, 0.9211), Br at (0.2208, 0.3163, 0.9019), F at (0.0356, 0.9594, 0.1171), F at (0.0642, 0.0493, 0.3200), F at (0.1311, 0.2243, 0.1602), F at (0.1343, 0.8790, 0.7833), F at (0.1624, 0.9607, 0.5815) and F at (0.2277, 0.1373, 0.7410).

For the raw formation energy, the calculation gives -142 kJ/mol of atoms. Its total energy is -162.95 eV for the cell shown.

=====

Compound: Sc2SBrF
Source: the Alexandria database
Functional: GGA-PBE
Structure: relaxed

It has space group P4/mmm (No. 123), with a = 4.8432 Å, b = 4.8432 Å, c = 5.4017 Å, α = 90.00°, β = 90.00° and γ = 90.00°. The asymmetric unit holds Sc at (0.0000, 0.5000, 0.0000), S at (0.0000, 0.0000, 0.0000), Br at (0.0000, 0.0000, 0.5000) and F at (0.5000, 0.5000, 0.5000).

For the raw formation energy, the calculation gives -69 kJ/mol of atoms. Its total energy is -23.91 eV for the cell shown.

=====

Compound: ScS2BrF
Source: the Alexandria database
Functional: GGA-PBE
Structure: relaxed

It has space group P4/mmm (No. 123), with a = 5.0131 Å, b = 5.0131 Å, c = 5.1899 Å, α = 90.00°, β = 90.00° and γ = 90.00°. The asymmetric unit holds Sc at (0.0000, 0.0000, 0.0000), S at (0.0000, 0.5000, 0.0000), Br at (0.0000, 0.0000, 0.5000) and F at (0.5000, 0.5000, 0.5000).

For the raw formation energy, the calculation gives -48 kJ/mol of atoms. Its total energy is -20.63 eV for the cell shown.

=====

Compound: SeSBr2F
Source: the Alexandria database
Functional: GGA-PBE
Structure: relaxed

It has space group P4/mmm (No. 123), with a = 4.9596 Å, b = 4.9596 Å, c = 5.1141 Å, α = 90.00°, β = 90.00° and γ = 90.00°. The asymmetric unit holds Se at (0.0000, 0.0000, 0.0000), S at (0.0000, 0.0000, 0.5000), Br at (0.0000, 0.5000, 0.5000) and F at (0.5000, 0.5000, 0.0000).

For the raw formation energy, the calculation gives 37 kJ/mol of atoms. The value obtained for the energy above the most stable polymorph in this dataset is 0 meV/atom. Its total energy is -10.93 eV for the cell shown.

=====

Compound: SeSBr2F
Source: the Alexandria database
Functional: GGA-PBE
Structure: relaxed

It has space group P4/mmm (No. 123), with a = 5.9012 Å, b = 5.9012 Å, c = 3.8959 Å, α = 90.00°, β = 90.00° and γ = 90.00°. The asymmetric unit holds Se at (0.0000, 0.0000, 0.0000), S at (0.5000, 0.5000, 0.0000), Br at (0.0000, 0.5000, 0.5000) and F at (0.0000, 0.0000, 0.5000).

For the raw formation energy, the calculation gives 61 kJ/mol of atoms. The value obtained for the energy above the most stable polymorph in this dataset is 249 meV/atom. Its total energy is -9.69 eV for the cell shown.

=====

Compound: TcS2BrF
Source: the Alexandria database
Functional: GGA-PBE
Structure: relaxed

It has space group P4/mmm (No. 123), with a = 5.2156 Å, b = 5.2156 Å, c = 3.6907 Å, α = 90.00°, β = 90.00° and γ = 90.00°. The asymmetric unit holds Tc at (0.0000, 0.0000, 0.0000), S at (0.0000, 0.5000, 0.5000), Br at (0.5000, 0.5000, 0.0000) and F at (0.0000, 0.0000, 0.5000).

For the raw formation energy, the calculation gives 101 kJ/mol of atoms. Its total energy is -16.94 eV for the cell shown.

=====

Compound: Tl5SBr2F
Source: the Alexandria database
Functional: GGA-PBE
Structure: relaxed

It has space group Cmc2_1 (No. 36), with a = 4.5008 Å, b = 20.2366 Å, c = 13.4364 Å, α = 90.00°, β = 90.00° and γ = 90.00°. The asymmetric unit holds Tl at (0.0000, 0.0106, 0.0000), Tl at (0.0000, 0.1303, 0.7093), Tl at (0.0000, 0.2042, 0.0891), Tl at (0.0000, 0.2317, 0.3887), Tl at (0.0000, 0.4198, 0.7621), S at (0.0000, 0.2740, 0.7356), Br at (0.0000, 0.3826, 0.0212), Br at (0.0000, 0.3945, 0.3950) and F at (0.0000, 0.0805, 0.1575).

For the raw formation energy, the calculation gives -84 kJ/mol of atoms. Its total energy is -115.93 eV for the cell shown.